(1)
The following is a DFT calculation (PBEsol) of a relaxed KNbZn2Co crystal.

* formation energy from the elements: 44.89 kcal/mol of atoms
* volume: 25.7 Å³ per atom
* total magnetic moment: 3.4 Bohr magnetons per cell

Cell: 4.9566 4.9566 5.2372 Å, 90.00 90.00 90.00°
With the nearest neighbours (Å) after each atom.
Space group P4/mmm (No. 123)
Inequivalent atoms, fractional coordinates:
K 0.0000 0.0000 0.0000 x1  2 Nb 2.62
Nb 0.0000 0.0000 0.5000 x1  4 Zn 2.48, 2 K 2.62
Zn 0.0000 0.5000 0.5000 x2  2 Nb 2.48
Co 0.5000 0.5000 0.0000 x1  4 K 3.50, 8 Zn 3.61

---

(2)
The following is a DFT calculation (PBEsol) of a relaxed KCoNi crystal.

* formation energy from the elements: 15.23 kcal/mol of atoms
* volume: 18.3 Å³ per atom
* total magnetic moment: 4.1 Bohr magnetons per cell

Cell: 2.5924 3.7676 11.2704 Å, 90.00 90.00 90.00°
With the nearest neighbours (Å) after each atom.
Space group Imm2 (No. 44)
Inequivalent atoms, fractional coordinates:
K 0.0000 0.0000 0.0000 x2  2 K 2.59
Co 0.0000 0.0000 0.2704 x2  4 Ni 2.34, 2 Co 2.59
Ni 0.0000 0.0000 0.7279 x2  4 Co 2.34, 2 Ni 2.59

---

(3)
The following is a DFT calculation (PBEsol) of a relaxed KCoNi2Pt crystal.

* formation energy from the elements: 19.85 kcal/mol of atoms
* volume: 17.9 Å³ per atom
* total magnetic moment: 3.6 Bohr magnetons per cell

Cell: 4.3987 4.3987 4.6252 Å, 90.00 90.00 90.00°
With the nearest neighbours (Å) after each atom.
Space group P4/mmm (No. 123)
Inequivalent atoms, fractional coordinates:
K 0.0000 0.0000 0.0000 x1  4 Pt 3.11, 8 Ni 3.19
Co 0.5000 0.5000 0.5000 x1  4 Ni 2.20, 2 Pt 2.31
Ni 0.0000 0.5000 0.5000 x2  2 Co 2.20
Pt 0.5000 0.5000 0.0000 x1  2 Co 2.31

---

Among the records above, which one has the highest formation energy from the elements?
KNbZn2Co

---

What is the volume in the first record?
25.7 Å³ per atom